KV2O7: optimized geometry, PBE with a Hubbard U.

Total energy (eV/atom): -6.24

Unit cell a=3.7603 b=5.9589 c=5.9589 alpha=118.26 beta=90.00 gamma=90.00
Closest atoms and distances in Å follow each position.
Positions (direct):
K 0.0000 0.0000 0.0000  10 O 2.70-3.02
V 0.5000 0.7007 0.2993  7 O 1.88-2.05
V 0.5000 0.2993 0.7007  7 O 1.88-2.05
O 0.0000 0.7049 0.2951  2 V 1.88
O 0.0000 0.2951 0.7049  2 V 1.88
O 0.5000 0.0559 0.3474  2 V 1.91-2.00
O 0.5000 0.9441 0.6526  2 V 1.91-2.00
O 0.5000 0.3474 0.0559  2 V 1.91-2.00
O 0.5000 0.6526 0.9441  2 V 1.91-2.00
O 0.5000 0.5000 0.5000  2 V 2.05